(1)
# Tb4PrTm3 (PBE, relaxed)
# energy above the most stable polymorph in this dataset = 221.5 meV per atom
# energy of formation = 0.233 eV/atom
data_Tb4PrTm3
_space_group_name_H-M_alt 'C 1 2/m 1'
_space_group_IT_number 12
_cell_length_a 25.975
_cell_length_b 5.650
_cell_length_c 3.560
_cell_angle_alpha 90.00
_cell_angle_beta 90.05
_cell_angle_gamma 90.00
loop_
_space_group_symop_operation_xyz
'x,y,z'
'-x,-y,-z'
'-x,y,-z'
'x,-y,z'
'x+1/2,y+1/2,z'
'-x+1/2,-y+1/2,-z'
'-x+1/2,y+1/2,-z'
'x+1/2,-y+1/2,z'
loop_
_atom_site_label
_atom_site_type_symbol
_atom_site_fract_x
_atom_site_fract_y
_atom_site_fract_z
_atom_site_occupancy
Tb1 Tb 0.106 0.000 0.001 1
Tb2 Tb 0.224 0.000 0.999 1
Pr1 Pr 0.000 0.000 0.500 1
Tm1 Tm 0.000 0.500 0.000 1
Tm2 Tm 0.156 0.500 0.500 1

***

(2)
# LiDy2Pu (PBE, relaxed)
# energy above the most stable polymorph in this dataset = 23.1 meV per atom
# energy of formation = 0.177 eV/atom
data_LiDy2Pu
_space_group_name_H-M_alt 'R 3 m'
_space_group_IT_number 160
_space_group_name_Hall 'R 3 -2"'
_cell_length_a 3.4579
_cell_length_b 3.4579
_cell_length_c 33.0799
_cell_angle_alpha 90.00
_cell_angle_beta 90.00
_cell_angle_gamma 120.00
loop_
_atom_site_label
_atom_site_type_symbol
_atom_site_fract_x
_atom_site_fract_y
_atom_site_fract_z
_atom_site_occupancy
Li1 Li 0.0000 0.0000 0.0000 1
Dy1 Dy 0.0000 0.0000 0.4154 1
Dy2 Dy 0.0000 0.0000 0.5846 1
Pu1 Pu 0.0000 0.0000 0.8334 1

***

(3)
# CeTh2CoC2 (PBE, relaxed)
# energy of formation = -0.172 eV/atom
data_CeTh2CoC2
_space_group_name_H-M_alt 'P n n m'
_space_group_IT_number 58
_cell_length_a 5.781
_cell_length_b 11.037
_cell_length_c 3.708
_cell_angle_alpha 90.00
_cell_angle_beta 90.00
_cell_angle_gamma 90.00
loop_
_space_group_symop_operation_xyz
'x,y,z'
'-x,-y,-z'
'-x,-y,z'
'x,y,-z'
'x+1/2,-y+1/2,-z+1/2'
'-x+1/2,y+1/2,z+1/2'
'-x+1/2,y+1/2,-z+1/2'
'x+1/2,-y+1/2,z+1/2'
loop_
_atom_site_label
_atom_site_type_symbol
_atom_site_fract_x
_atom_site_fract_y
_atom_site_fract_z
_atom_site_occupancy
Ce1 Ce 0.000 0.000 0.000 1
Th1 Th 0.010 0.300 0.500 1
Co1 Co 0.000 0.500 0.000 1
C1 C 0.237 0.889 0.500 1

***

(4)
# Ba6PdI3N2 (PBE, relaxed)
# formation energy from raw total energies = -11.6 eV/f.u.
data_Ba6PdI3N2
_space_group_name_H-M_alt 'C 1 2/m 1'
_space_group_IT_number 12
_cell_length_a 7.567
_cell_length_b 13.329
_cell_length_c 8.773
_cell_angle_alpha 90.00
_cell_angle_beta 106.62
_cell_angle_gamma 90.00
loop_
_space_group_symop_operation_xyz
'x,y,z'
'-x,-y,-z'
'-x,y,-z'
'x,-y,z'
'x+1/2,y+1/2,z'
'-x+1/2,-y+1/2,-z'
'-x+1/2,y+1/2,-z'
'x+1/2,-y+1/2,z'
loop_
_atom_site_label
_atom_site_type_symbol
_atom_site_fract_x
_atom_site_fract_y
_atom_site_fract_z
_atom_site_occupancy
Ba1 Ba 0.200 0.000 0.179 1
Ba2 Ba 0.246 0.183 0.816 1
Pd1 Pd 0.000 0.500 0.000 1
I1 I 0.000 0.000 0.500 1
I2 I 0.000 0.341 0.500 1
N1 N 0.000 0.166 0.000 1

***

So what do the calculations give for magnetization? Going down the list: 0.0 6.2 0.0 0.0 μB/f.u..
So what do the calculations give for D(E_F)? Going down the list: 1.6900 2.4334 1.0695 0.4919 states/eV per atom.